Computed, not measured: YMg2CuHg after structural relaxation at the PBEsol level of DFT.

Structure (POSCAR):
```
YMg2CuHg
1.0
-4.090 -0.361 -2.595
-0.267 -4.881 1.099
-2.690 1.069 4.090
Y Mg Hg Cu
1 2 1 1
Cartesian
-3.523 -2.087 1.297
-1.345 0.534 2.045
-0.134 -2.441 0.550
0.000 0.000 0.000
-2.045 -0.180 -1.298
```

## Properties
Space group ... P4/mmm, No. 123
Total magnetization ... 0.00 μB/f.u.
Electronic total energy ... -13.8 eV per cell
Calculated formation energy ... 0.2619 eV/atom